## BaZnIn4 (GGA-PBE)

Data for a relaxed BaZnIn4 crystal.

The structure in POSCAR format:
```
BaZnIn4
1.0
4.585 0.000 -1.189
0.000 7.742 0.000
-0.002 0.000 9.427
Ba Zn In
2 2 8
Cartesian
0.545 1.935 2.100
4.039 5.806 6.137
1.051 5.806 4.053
3.533 1.935 4.185
2.293 3.871 -0.595
2.293 0.000 -0.595
3.125 7.324 2.615
1.458 0.418 5.622
1.458 3.453 5.622
3.125 4.288 2.615
0.335 5.806 1.291
4.249 1.935 6.946
```

Summary:
* space-group type: No. 63
* total moment: 0.0 μB per formula unit
* DOS at the Fermi energy: 0.46 states/eV per atom
* DFT formation energy: -0.254 eV per atom
* offset from the most stable computed form: 0.000 eV/atom

***

## CaMg9Zn3 (GGA-PBE)

Data for a relaxed CaMg9Zn3 crystal.

The structure in POSCAR format:
```
CaMg9Zn3
1.0
-4.567 -3.012 -1.550
0.668 -7.221 2.054
-5.347 -0.034 5.395
Ca Mg Zn
1 9 3
Cartesian
0.000 0.000 0.000
-6.874 -7.851 4.729
-2.373 -2.417 1.170
-6.370 -3.099 3.846
-2.876 -7.168 2.053
-4.661 -4.439 1.614
-4.585 -5.829 4.286
-5.991 -7.756 1.744
-3.255 -2.512 4.155
0.334 -3.611 1.027
-1.949 -5.117 0.252
-2.674 -0.017 2.697
-4.957 -1.523 1.922
```

Summary:
* space-group type: No. 12
* total moment: 0.0 μB per formula unit
* DOS at the Fermi energy: 0.36 states/eV per atom
* DFT formation energy: -0.089 eV per atom